Entry 1:
This record from the Alexandria database describes crystalline LaDy2Sc at its relaxed geometry. The functional is PBE-GGA.

Summary:
Distance to the lowest polymorph of the same formula = 0.018 eV per atom

abc: 11.619 11.619 11.619
angles: 17.49 17.49 17.49
Atoms (fractional coordinates):
La1 0.000 0.000 0.000
Dy1 0.245 0.245 0.245
Dy2 0.755 0.755 0.755
Sc1 0.500 0.500 0.500

***

Entry 2:
This record from the Alexandria database describes crystalline La6DySc2 at its relaxed geometry. The functional is PBE-GGA.

abc: 9.950 9.950 3.621
angles: 90.00 90.00 124.28
Atoms (fractional coordinates):
La1 0.005 0.342 0.000
La2 0.176 0.176 0.500
La3 0.342 0.005 0.000
La4 0.658 0.995 0.000
La5 0.824 0.824 0.500
La6 0.995 0.658 0.000
Dy1 0.500 0.500 0.000
Sc1 0.329 0.671 0.500
Sc2 0.671 0.329 0.500

***

Entry 3:
This record from the Alexandria database describes crystalline LaDy3Sc7 at its relaxed geometry. The functional is PBE-GGA.

abc: 8.011 8.011 5.483
angles: 109.96 109.96 82.25
Atoms (fractional coordinates):
La1 0.000 0.000 0.000
Dy1 0.291 0.709 0.500
Dy2 0.500 0.500 0.000
Dy3 0.709 0.291 0.500
Sc1 0.000 0.000 0.500
Sc2 0.091 0.467 0.779
Sc3 0.294 0.294 0.295
Sc4 0.467 0.091 0.779
Sc5 0.533 0.909 0.221
Sc6 0.706 0.706 0.705
Sc7 0.909 0.533 0.221

***

Entry 4:
This record from the Alexandria database describes crystalline LaDySc2 at its relaxed geometry. The functional is PBE-GGA.

Summary:
Distance to the lowest polymorph of the same formula = 0.000 eV per atom

abc: 5.102 5.102 4.456
angles: 90.00 90.00 90.00
Atoms (fractional coordinates):
La1 0.000 0.000 0.000
Dy1 0.500 0.500 0.000
Sc1 0.000 0.500 0.500
Sc2 0.500 0.000 0.500

***

Entry 5:
This record from the Alexandria database describes crystalline La2Dy8Sc3 at its relaxed geometry. The functional is PBE-GGA.

abc: 6.075 6.097 11.088
angles: 90.10 100.47 99.65
Atoms (fractional coordinates):
La1 0.115 0.268 0.462
La2 0.885 0.732 0.538
Dy1 0.042 0.415 0.146
Dy2 0.192 0.124 0.783
Dy3 0.346 0.808 0.375
Dy4 0.424 0.662 0.704
Dy5 0.576 0.338 0.296
Dy6 0.654 0.192 0.625
Dy7 0.808 0.876 0.217
Dy8 0.958 0.585 0.854
Sc1 0.275 0.960 0.072
Sc2 0.500 0.500 0.000
Sc3 0.725 0.040 0.928

***

Entry 6:
This record from the Alexandria database describes crystalline LaDy3Sc4 at its relaxed geometry. The functional is PBE-GGA.

abc: 10.890 7.020 5.997
angles: 90.00 90.00 90.00
Atoms (fractional coordinates):
La1 0.000 0.134 0.000
La2 0.500 0.866 0.500
Dy1 0.000 0.863 0.504
Dy2 0.249 0.138 0.352
Dy3 0.251 0.862 0.852
Dy4 0.500 0.137 0.004
Dy5 0.749 0.862 0.852
Dy6 0.751 0.138 0.352
Sc1 0.000 0.389 0.512
Sc2 0.000 0.614 0.014
Sc3 0.247 0.615 0.342
Sc4 0.253 0.385 0.842
Sc5 0.500 0.386 0.514
Sc6 0.500 0.611 0.012
Sc7 0.747 0.385 0.842
Sc8 0.753 0.615 0.342

***

Number 1: VASP energy -5.064 eV/atom, formation enthalpy at 0 K 52 meV per atom. Number 2: VASP energy -5.055 eV/atom, formation enthalpy at 0 K 148 meV per atom. Number 3: VASP energy -5.447 eV/atom, formation enthalpy at 0 K 285 meV per atom. Number 4: VASP energy -5.484 eV/atom, formation enthalpy at 0 K 64 meV per atom. Number 5: VASP energy -4.998 eV/atom, formation enthalpy at 0 K 54 meV per atom. Number 6: VASP energy -5.462 eV/atom, formation enthalpy at 0 K 45 meV per atom.